V2ClO3 after structural relaxation, computed with GGA+U.

Calculated values
The calculation puts the total energy at -6.9978 eV per atom.

Unit cell a=3.1505 b=6.2660 c=7.6291 alpha=90.00 beta=90.00 gamma=90.00
Last column: nearest neighbours and their distance in Å.
Space group Amm2 (No. 38)
Unique sites:
V: 0.0000 0.0000 0.0000 [2 per cell]  4 O 1.87-1.98
V: 0.5000 0.0000 0.4179 [2 per cell]  5 O 1.99-2.06
Cl: 0.5000 0.0000 0.7533 [2 per cell]  3 V 2.45-2.56
O: 0.0000 0.2058 0.4573 [4 per cell]  3 V 1.87-2.06
O: 0.5000 0.0000 0.1576 [2 per cell]  3 V 1.98-1.99